# 1
TcPW2 | PBE | relaxed

The structure in CIF format:
```
data_TcPW2
_cell_length_a 4.366
_cell_length_b 4.366
_cell_length_c 4.366
_cell_angle_alpha 60.00
_cell_angle_beta 60.00
_cell_angle_gamma 60.00
_symmetry_space_group_name_H-M 'P 1'
_symmetry_Int_Tables_number 1
loop_
_symmetry_equiv_pos_as_xyz
'x,y,z'
loop_
_atom_site_label
_atom_site_type_symbol
_atom_site_fract_x
_atom_site_fract_y
_atom_site_fract_z
Tc1 Tc 0.000 0.000 0.000
P1 P 0.750 0.750 0.750
W1 W 0.250 0.250 0.250
W2 W 0.500 0.500 0.500
```

Properties
Its density is 14.0 g/cm³. The space group is No. 216. The crystal system is cubic. As for the calculated formation energy: 270 meV/atom.

=====

# 2
BeMo2Rh | PBE | relaxed

The structure in CIF format:
```
data_BeMo2Rh
_cell_length_a 4.791
_cell_length_b 4.791
_cell_length_c 4.791
_cell_angle_alpha 134.01
_cell_angle_beta 134.01
_cell_angle_gamma 67.08
_symmetry_space_group_name_H-M 'P 1'
_symmetry_Int_Tables_number 1
loop_
_symmetry_equiv_pos_as_xyz
'x,y,z'
loop_
_atom_site_label
_atom_site_type_symbol
_atom_site_fract_x
_atom_site_fract_y
_atom_site_fract_z
Be1 Be 0.000 0.000 0.000
Mo1 Mo 0.250 0.750 0.500
Mo2 Mo 0.500 0.500 0.000
Rh1 Rh 0.750 0.250 0.500
```

Properties
Its density is 9.0 g/cm³. The space group is No. 119. The crystal system is tetragonal. As for the calculated formation energy: 71 meV/atom.

=====

Short version: total energy = -10.1504 -8.1137 eV/atom, in the order given.